LiTb5Sn4 | Alexandria | PBE | optimized geometry; SG = No. 12; final energy = -44.9 eV per cell
1.0
8.507 -2.150 0.000
8.507 2.150 0.000
-1.251 0.000 7.800
Li Tb Sn
1 5 4
Direct
0.000 0.000 0.000
0.000 0.000 0.500
0.289 0.289 0.353
0.369 0.369 0.810
0.631 0.631 0.190
0.711 0.711 0.647
0.181 0.181 0.929
0.452 0.452 0.211
0.548 0.548 0.789
0.819 0.819 0.071